Below is an optimized crystal structure of Al6Ge5, with properties calculated at the PBEsol level.

The space group is R-3c (No. 167, hexagonal axes) and the conventional cell measures 11.4075, 11.4075 and 11.6318 Å, with angles of 90.00, 90.00 and 120.00 degrees. The distinct sites, in fractional coordinates, are Al at (0.0749, 0.2386, 0.4090), Ge at (0.0000, 0.0000, 0.1430) and Ge at (0.0000, 0.3512, 0.2500).

The total magnetization is 0.000 μB per atom. The formation energy is 0.05 eV/atom. The calculation puts the calculated volume at 1310.9 Å³ per cell. Its total DFT energy (no corrections) is -4.432 eV/atom.

Below is an optimized crystal structure of GeTeNO2, with properties calculated at the PBEsol level.

The space group is P4/mmm (No. 123) and the conventional cell measures 3.7302, 3.7302 and 3.9719 Å, with angles of 90.00, 90.00 and 90.00 degrees. The distinct sites, in fractional coordinates, are Ge at (0.0000, 0.0000, 0.0000), Te at (0.5000, 0.5000, 0.5000), N at (0.0000, 0.0000, 0.5000) and O at (0.0000, 0.5000, 0.0000).

The total magnetization is 0.000 μB per atom. The calculation puts the calculated volume at 55.3 Å³ per cell. The raw formation energy is -241 meV per atom. Its total DFT energy (no corrections) is -5.739 eV/atom.

Below is an optimized crystal structure of CeSi2Rh3, with properties calculated at the PBEsol level.

The space group is Imma (No. 74) and the conventional cell measures 7.0907, 9.5771 and 5.5363 Å, with angles of 90.00, 90.00 and 90.00 degrees. The distinct sites, in fractional coordinates, are Ce at (0.0000, 0.2500, 0.2090), Si at (0.0000, 0.0796, 0.6919), Rh at (0.2129, 0.0000, 0.0000) and Rh at (0.2500, 0.2500, 0.7500).

The total magnetization is 0.128 μB per atom. The calculation puts the calculated volume at 376.0 Å³ per cell. The raw formation energy is -1033 meV per atom. Its total DFT energy (no corrections) is -8.117 eV/atom.

Below is an optimized crystal structure of Fe3OsF, with properties calculated at the PBEsol level.

The space group is Pm-3m (No. 221) and the conventional cell measures 3.9048, 3.9048 and 3.9048 Å, with angles of 90.00, 90.00 and 90.00 degrees. The distinct sites, in fractional coordinates, are Fe at (0.0000, 0.0000, 0.5000), Os at (0.5000, 0.5000, 0.5000) and F at (0.0000, 0.0000, 0.0000).

The total magnetization is 1.736 μB per atom. The calculation puts the calculated volume at 59.5 Å³ per cell. The raw formation energy is 535 meV per atom. Its total DFT energy (no corrections) is -7.671 eV/atom.